No. 1
# La4DyS7, relaxed, DFT PBE-GGA
# Fermi-level density of states in states/eV per cell: 1.7
# SG: Cm
data_La4DyS7
_chemical_formula_sum 'La4 Dy1 S7'
_cell_length_a 4.011
_cell_length_b 7.056
_cell_length_c 11.960
_cell_angle_alpha 104.94
_cell_angle_beta 90.00
_cell_angle_gamma 106.51
_space_group_name_H-M_alt 'P 1'
_space_group_IT_number 1
loop_
_space_group_symop_operation_xyz
'x,y,z'
loop_
_atom_site_label
_atom_site_type_symbol
_atom_site_fract_x
_atom_site_fract_y
_atom_site_fract_z
S1 S 0.339 0.677 0.948
S2 S 0.040 0.080 0.777
S3 S 0.659 0.319 0.051
La1 La 0.111 0.223 0.427
Dy1 Dy 0.887 0.775 0.577
S4 S 0.493 0.985 0.503
S5 S 0.742 0.484 0.359
S6 S 0.271 0.542 0.647
La2 La 0.999 0.998 0.997
La3 La 0.698 0.396 0.806
S7 S 0.958 0.916 0.215
La4 La 0.303 0.605 0.193

***

No. 2
# La5DyS6, relaxed, DFT PBE-GGA
# Fermi-level density of states in states/eV per cell: 5.9
# SG: C2/m
data_La5DyS6
_chemical_formula_sum 'La5 Dy1 S6'
_cell_length_a 7.127
_cell_length_b 7.126
_cell_length_c 7.133
_cell_angle_alpha 60.03
_cell_angle_beta 80.33
_cell_angle_gamma 70.34
_space_group_name_H-M_alt 'P 1'
_space_group_IT_number 1
loop_
_space_group_symop_operation_xyz
'x,y,z'
loop_
_atom_site_label
_atom_site_type_symbol
_atom_site_fract_x
_atom_site_fract_y
_atom_site_fract_z
La1 La 0.000 0.666 0.667
La2 La 0.500 0.830 0.340
S1 S 0.245 0.240 0.000
S2 S 0.759 0.402 0.678
La3 La 0.500 0.500 0.000
S3 S 0.759 0.080 0.322
S4 S 0.755 0.760 0.000
S5 S 0.241 0.920 0.678
Dy1 Dy 0.000 0.000 0.000
La4 La 0.000 0.334 0.333
La5 La 0.500 0.170 0.660
S6 S 0.241 0.598 0.322

***

No. 3
# LaDySbS, relaxed, DFT PBE-GGA
# Fermi-level density of states in states/eV per cell: 1.9
# SG: R3m
data_LaDySbS
_chemical_formula_sum 'La1 Dy1 Sb1 S1'
_cell_length_a 4.154
_cell_length_b 4.155
_cell_length_c 7.911
_cell_angle_alpha 90.01
_cell_angle_beta 105.22
_cell_angle_gamma 119.99
_space_group_name_H-M_alt 'P 1'
_space_group_IT_number 1
loop_
_space_group_symop_operation_xyz
'x,y,z'
loop_
_atom_site_label
_atom_site_type_symbol
_atom_site_fract_x
_atom_site_fract_y
_atom_site_fract_z
Sb1 Sb 0.124 0.960 0.100
La1 La 0.974 0.385 0.373
Dy1 Dy 0.296 0.546 0.858
S1 S 0.483 0.140 0.638

***

no.,raw total energy (eV per atom)
1,-6.597
2,-6.637
3,-5.910